{"formula": "P2AuSO", "functional": "PBE", "state": "optimized geometry", "lattice_angstrom": [[-4.2184, -2.3314, 0.5701], [1.6136, -1.9015, 4.1636], [-1.4379, 3.0821, 1.9648]], "species": ["P", "P", "S", "Au", "O"], "fractional_positions": [[0.0000, 0.5000, 0.0000], [0.5000, 0.0000, 0.0000], [0.5000, 0.5000, 0.5000], [0.0000, 0.0000, 0.0000], [0.0000, 0.0000, 0.5000]], "space_group": "P4/mmm", "polymorph_energy_mev_per_atom": 569, "n_ef_per_ev_atom": 0.81}



{"formula": "RbPm3Cl8", "functional": "PBE", "state": "optimized geometry", "lattice_angstrom": [[-6.1741, -4.5332, 1.3357], [1.0032, -7.3262, 2.4028], [-1.9003, -1.3710, 9.1927]], "species": ["Rb", "Pm", "Pm", "Pm", "Cl", "Cl", "Cl", "Cl", "Cl", "Cl", "Cl", "Cl"], "fractional_positions": [[0.5000, 0.5000, 0.5000], [0.0000, 0.5000, 0.0000], [0.5000, 0.0000, 0.0000], [0.5000, 0.5000, 0.0000], [0.7371, 0.7371, 0.7886], [0.2629, 0.2629, 0.2114], [0.7670, 0.7670, 0.1962], [0.7670, 0.2698, 0.1962], [0.2698, 0.7670, 0.1962], [0.7302, 0.2330, 0.8038], [0.2330, 0.7302, 0.8038], [0.2330, 0.2330, 0.8038]], "space_group": "R-3m", "n_ef_per_ev_atom": 0.36}



{"formula": "Sc2CuTcAs", "functional": "PBE", "state": "optimized geometry", "lattice_angstrom": [[4.8846, 0.0000, 0.0000], [0.0000, 4.2289, 0.0000], [0.0000, 0.0000, 4.8846]], "species": ["Sc", "Sc", "As", "Tc", "Cu"], "fractional_positions": [[0.0000, 0.0000, 0.5000], [0.5000, 0.0000, 0.0000], [0.0000, 0.5000, 0.0000], [0.5000, 0.5000, 0.5000], [0.0000, 0.0000, 0.0000]], "space_group": "P4/mmm", "polymorph_energy_mev_per_atom": 239, "formation_energy_kj_per_mol_atoms": 51.1, "n_ef_per_ev_atom": 0.89}



{"formula": "Pm12Pr2Nd", "functional": "PBE", "state": "optimized geometry", "lattice_angstrom": [[-4.4280, -3.6306, 3.2486], [4.5930, -1.6471, 4.4196], [-6.2999, 20.3165, 14.1188]], "species": ["Pm", "Pm", "Pm", "Pm", "Pm", "Pm", "Pm", "Pm", "Pm", "Pm", "Pm", "Pm", "Pm", "Pm", "Pm", "Pm", "Pm", "Pm", "Pm", "Pm", "Pm", "Pm", "Pm", "Pm", "Pr", "Pr", "Pr", "Pr", "Nd", "Nd"], "fractional_positions": [[0.5000, 0.5000, 0.7840], [0.0000, 0.0000, 0.7840], [0.6855, 0.8145, 0.8849], [0.1855, 0.6855, 0.8849], [0.0000, 0.0000, 0.3391], [0.3145, 0.8145, 0.1151], [0.8325, 0.3325, 0.5614], [0.5000, 0.5000, 0.3391], [0.3145, 0.1855, 0.8849], [0.8145, 0.6855, 0.1151], [0.3325, 0.1675, 0.5614], [0.6675, 0.1675, 0.4386], [0.0000, 0.0000, 0.6609], [0.1675, 0.3325, 0.4386], [0.1855, 0.3145, 0.1151], [0.8325, 0.6675, 0.4386], [0.6675, 0.8325, 0.5614], [0.0000, 0.0000, 0.2160], [0.1675, 0.6675, 0.5614], [0.5000, 0.5000, 0.6609], [0.8145, 0.3145, 0.8849], [0.5000, 0.5000, 0.2160], [0.3325, 0.8325, 0.4386], [0.6855, 0.1855, 0.1151], [0.5000, 0.0000, 0.2691], [0.0000, 0.5000, 0.2691], [0.0000, 0.5000, 0.7309], [0.5000, 0.0000, 0.7309], [0.5000, 0.0000, 0.0000], [0.0000, 0.5000, 0.0000]], "space_group": "P4/nbm", "formation_energy_kj_per_mol_atoms": 28.5, "n_ef_per_ev_atom": 1.40}



{"formula": "K2SnGeAu6", "functional": "PBE", "state": "optimized geometry", "lattice_angstrom": [[7.3441, 0.0025, -0.0005], [0.0024, 7.3475, -0.0006], [3.6730, 3.6747, 5.2110]], "species": ["K", "K", "Sn", "Ge", "Au", "Au", "Au", "Au", "Au", "Au"], "fractional_positions": [[0.7501, 0.2502, 0.4997], [0.2499, 0.7498, 0.5003], [0.5000, 0.5000, 0.0000], [0.0000, 0.0000, 0.0000], [0.2413, 0.2413, 0.5174], [0.7588, 0.7586, 0.9999], [0.2414, 0.7587, 0.0000], [0.7586, 0.2413, 0.0000], [0.2412, 0.2414, 0.0001], [0.7587, 0.7587, 0.4826]], "space_group": "I4/mmm", "formation_energy_kj_per_mol_atoms": -14.4, "n_ef_per_ev_atom": 0.18}



{"formula": "Zn2CrRe", "functional": "PBE", "state": "optimized geometry", "lattice_angstrom": [[-1.2848, -2.0059, 2.1349], [0.9849, -2.4913, -1.7481], [4.7938, -0.0779, 2.8117]], "species": ["Cr", "Re", "Zn", "Zn"], "fractional_positions": [[0.5000, 0.5000, 0.2500], [0.5000, 0.5000, 0.7500], [0.0000, 0.0000, 0.0024], [0.0000, 0.0000, 0.4976]], "space_group": "P4/mmm", "polymorph_energy_mev_per_atom": 303, "formation_energy_kj_per_mol_atoms": 39.9, "n_ef_per_ev_atom": 0.74}



{"formula": "SrCePdAu", "functional": "PBE", "state": "optimized geometry", "lattice_angstrom": [[5.2406, 0.0000, 0.0000], [2.6203, 4.5385, 0.0000], [2.6203, 1.5128, 4.2789]], "species": ["Sr", "Au", "Pd", "Ce"], "fractional_positions": [[0.2500, 0.2500, 0.2500], [0.5000, 0.5000, 0.5000], [0.0000, 0.0000, 0.0000], [0.7500, 0.7500, 0.7500]], "space_group": "F-43m", "formation_energy_kj_per_mol_atoms": -55.4, "n_ef_per_ev_atom": 2.50}



{"formula": "PtO4", "functional": "PBE", "state": "optimized geometry", "lattice_angstrom": [[-2.0157, -2.4514, 0.0097], [0.7465, -2.6626, 1.5575], [-4.3072, 1.3877, 7.8756]], "species": ["Pt", "O", "O", "O", "O"], "fractional_positions": [[0.0000, 0.0000, 0.0000], [0.0603, 0.0603, 0.4345], [0.9397, 0.9397, 0.5655], [0.6290, 0.6290, 0.1063], [0.3710, 0.3710, 0.8937]], "space_group": "C2/m"}



{"formula": "SmTm2Th3S6", "functional": "PBE", "state": "optimized geometry", "lattice_angstrom": [[-5.6523, -0.4623, 3.6315], [-0.2560, -0.7507, -6.6874], [2.9463, -6.2401, 1.7151]], "species": ["Sm", "Tm", "Tm", "Th", "Th", "Th", "S", "S", "S", "S", "S", "S"], "fractional_positions": [[0.0000, 0.0000, 0.0000], [0.3330, 0.6670, 0.0000], [0.6670, 0.3330, 0.0000], [0.1630, 0.8370, 0.5000], [0.8370, 0.1630, 0.5000], [0.5000, 0.5000, 0.5000], [0.9221, 0.5797, 0.7662], [0.7339, 0.7339, 0.2293], [0.0779, 0.4203, 0.2338], [0.5797, 0.9221, 0.7662], [0.2661, 0.2661, 0.7707], [0.4203, 0.0779, 0.2338]], "space_group": "C2/m", "n_ef_per_ev_atom": 0.59}



{"formula": "Ho8ZnIn2", "functional": "PBE", "state": "optimized geometry", "lattice_angstrom": [[-4.7482, 1.6936, 1.1390], [-2.4877, -3.4419, -5.2528], [1.9033, -6.8276, 6.3611]], "species": ["Ho", "Ho", "Ho", "Ho", "Ho", "Ho", "Ho", "Ho", "Zn", "In", "In"], "fractional_positions": [[0.4073, 0.5430, 0.8146], [0.6525, 0.9665, 0.3050], [0.7969, 0.7085, 0.5938], [0.9833, 0.2297, 0.9665], [0.2031, 0.2915, 0.4062], [0.3475, 0.0335, 0.6950], [0.5927, 0.4570, 0.1854], [0.0167, 0.7703, 0.0335], [0.5000, 0.0000, 0.0000], [0.8132, 0.2618, 0.6265], [0.1868, 0.7382, 0.3735]], "space_group": "C2/m", "formation_energy_kj_per_mol_atoms": -19.1, "n_ef_per_ev_atom": 0.99}



{"formula": "PaSiGe", "functional": "PBE", "state": "optimized geometry", "lattice_angstrom": [[3.7996, 0.0000, 1.2184], [1.8985, 5.4607, 0.6131], [0.2326, -0.0951, 5.8083]], "species": ["Pa", "Pa", "Si", "Si", "Ge", "Ge"], "fractional_positions": [[0.5000, 0.7535, 0.2465], [0.5000, 0.2465, 0.7535], [0.8466, 0.1534, 0.1534], [0.1534, 0.8466, 0.8466], [0.1696, 0.3304, 0.3304], [0.8304, 0.6696, 0.6696]], "space_group": "Immm", "polymorph_energy_mev_per_atom": 4, "n_ef_per_ev_atom": 0.99}



Number 1: DFT total energy -3.602 eV per atom, magnetic moment 0.000 μB per cell. Number 2: DFT total energy -4.557 eV per atom, magnetic moment 1.476 μB per cell. Number 3: DFT total energy -5.825 eV per atom, magnetic moment 1.030 μB per cell. Number 4: DFT total energy -4.460 eV per atom, magnetic moment 0.000 μB per cell. Number 5: DFT total energy -3.198 eV per atom, magnetic moment 0.000 μB per cell. Number 6: DFT total energy -5.742 eV per atom, magnetic moment 2.739 μB per cell. Number 7: DFT total energy -4.595 eV per atom, magnetic moment 1.072 μB per cell. Number 8: DFT total energy -5.429 eV per atom, magnetic moment 1.994 μB per cell. Number 9: DFT total energy -6.945 eV per atom, magnetic moment 0.000 μB per cell. Number 10: DFT total energy -4.141 eV per atom, magnetic moment 0.000 μB per cell. Number 11: DFT total energy -6.899 eV per atom, magnetic moment 0.000 μB per cell.